(1)
LaTb4Mg5: optimized geometry, PBE.

- total magnetization (Bohr magnetons per cell) = 0.00
- space group = No. 123
- E (eV per atom) = -3.232
- energy of formation (meV per atom) = -90

a = 3.8247 Å, b = 3.8247 Å, c = 19.2400 Å
α = 90.00°, β = 90.00°, γ = 90.00°
Sites, in units of the cell vectors:
La 0.0000 0.0000 0.0000
Tb 0.0000 0.0000 0.2070
Tb 0.0000 0.0000 0.4023
Tb 0.0000 0.0000 0.5977
Tb 0.0000 0.0000 0.7930
Mg 0.5000 0.5000 0.1095
Mg 0.5000 0.5000 0.3043
Mg 0.5000 0.5000 0.5000
Mg 0.5000 0.5000 0.6957
Mg 0.5000 0.5000 0.8905

***

(2)
TePN2F: optimized geometry, PBE.

- energy above the most stable polymorph in this dataset (meV per atom) = 155.3
- total magnetization (Bohr magnetons per cell) = 0.00
- space group = No. 123
- E (eV per atom) = -4.772
- uncorrected formation energy (meV/atom) = 643

a = 3.8715 Å, b = 3.8715 Å, c = 3.8223 Å
α = 90.00°, β = 90.00°, γ = 90.00°
Sites, in units of the cell vectors:
Te 0.0000 0.0000 0.0000
P 0.5000 0.5000 0.5000
N 0.0000 0.5000 0.5000
N 0.5000 0.0000 0.5000
F 0.5000 0.5000 0.0000